Crystalline BaMg2Mo at its relaxed geometry, computed with PBE-GGA.

Computed properties:
Its crystal system is tetragonal. The energy relative to the lowest polymorph listed for this composition is 200 meV per atom. As for the total moment: 0.682 μB/atom. The formation energy from the elements is 0.723 eV/atom.

```
data_BaMg2Mo
_chemical_formula_sum 'Ba1 Mg2 Mo1'
_cell_length_a 5.674
_cell_length_b 5.674
_cell_length_c 5.674
_cell_angle_alpha 129.39
_cell_angle_beta 129.39
_cell_angle_gamma 74.39
_space_group_name_H-M_alt 'P 1'
_space_group_IT_number 1
loop_
_space_group_symop_operation_xyz
'x,y,z'
loop_
_atom_site_label
_atom_site_fract_x
_atom_site_fract_y
_atom_site_fract_z
Ba1 0.000 0.000 0.000
Mg1 0.250 0.750 0.500
Mg2 0.750 0.250 0.500
Mo1 0.500 0.500 0.000
```